# 1
Computed, not measured: Ce3InOs after structural relaxation at the PBE-GGA level of DFT.

Values from the calculation:
The distance to the lowest polymorph of the same formula comes out at 102 meV per atom.

abc: 5.390 5.390 5.390
angles: 90.00 90.00 90.00
Space group Pm-3m (No. 221)
Symmetry-distinct sites (fractional):
Ce 0.000 0.000 0.500 (multiplicity 3)
In 0.500 0.500 0.500 (multiplicity 1)
Os 0.000 0.000 0.000 (multiplicity 1)

---

# 2
Computed, not measured: Ce3InOs after structural relaxation at the PBE-GGA level of DFT.

Values from the calculation:
The distance to the lowest polymorph of the same formula comes out at 6 meV per atom.

abc: 14.871 5.165 6.465
angles: 90.00 90.02 90.00
Space group C2/m (No. 12)
Symmetry-distinct sites (fractional):
Ce 0.046 0.000 0.233 (multiplicity 4)
Ce 0.119 0.500 0.409 (multiplicity 4)
Ce 0.216 0.000 0.828 (multiplicity 4)
In 0.088 0.500 0.897 (multiplicity 4)
Os 0.219 0.000 0.361 (multiplicity 4)

---

# 3
Computed, not measured: Ce6InOs2 after structural relaxation at the PBE-GGA level of DFT.

abc: 10.585 4.721 8.941
angles: 90.00 92.95 90.00
Space group C2/m (No. 12)
Symmetry-distinct sites (fractional):
Ce 0.068 0.000 0.365 (multiplicity 4)
Ce 0.101 0.500 0.676 (multiplicity 4)
Ce 0.208 0.500 0.101 (multiplicity 4)
In 0.000 0.000 0.000 (multiplicity 2)
Os 0.238 0.500 0.386 (multiplicity 4)

---

# 4
Computed, not measured: Ce12InOs4 after structural relaxation at the PBE-GGA level of DFT.

abc: 9.958 9.958 9.958
angles: 90.00 90.00 90.00
Space group Im-3 (No. 204)
Symmetry-distinct sites (fractional):
Ce 0.000 0.149 0.316 (multiplicity 24)
In 0.000 0.000 0.000 (multiplicity 2)
Os 0.250 0.250 0.250 (multiplicity 8)

---

# 5
Computed, not measured: Ce12InOs7 after structural relaxation at the PBE-GGA level of DFT.

abc: 14.3238 14.3238 8.2655
angles: 90.00 90.00 120.00
Space group R-3 (No. 148, hexagonal axes)
Symmetry-distinct sites (fractional):
Ce 0.0290 0.1704 0.2746 (multiplicity 18)
Ce 0.0472 0.4518 0.3060 (multiplicity 18)
In 0.0000 0.0000 0.0000 (multiplicity 3)
Os 0.0000 0.0000 0.5000 (multiplicity 3)
Os 0.0405 0.2088 0.9328 (multiplicity 18)

---

# 6
Computed, not measured: Ce4InOs after structural relaxation at the PBE-GGA level of DFT.

abc: 8.760 12.375 5.928
angles: 90.00 108.36 90.00
Space group C2/c (No. 15)
Symmetry-distinct sites (fractional):
Ce 0.128 0.188 0.082 (multiplicity 8)
Ce 0.231 0.395 0.346 (multiplicity 8)
In 0.000 0.395 0.750 (multiplicity 4)
Os 0.000 0.003 0.750 (multiplicity 4)

---

Size of the total moment values (in μB/cell) by entry order: 2.2; 2.2; 1.6; 18.2; 10.1; 5.7.
Formation energy from the elements values (in eV per atom) by entry order: -0.1058; -0.2014; -0.2370; 0.0339; -0.0710; -0.2150.
Mass density values (in g/cm³) by entry order: 7.69; 9.70; 9.94; 8.60; 10.61; 9.43.